# Nb2ZnBSb, optimized geometry, DFT PBE
# E_form (uncorrected) ... 2.001 eV per atom
data_Nb2ZnBSb
_cell_length_a 4.818
_cell_length_b 4.818
_cell_length_c 4.719
_cell_angle_alpha 90.00
_cell_angle_beta 90.00
_cell_angle_gamma 90.00
_symmetry_space_group_name_H-M 'P 4/m m m'
_symmetry_Int_Tables_number 123
_symmetry_space_group_name_Hall '-P 4 2'
loop_
_atom_site_label
_atom_site_type_symbol
_atom_site_fract_x
_atom_site_fract_y
_atom_site_fract_z
Nb1 Nb 0.000 0.500 0.000
Zn1 Zn 0.000 0.000 0.000
B1 B 0.500 0.500 0.500
Sb1 Sb 0.000 0.000 0.500